No. 1
First-principles (PBE) data for a relaxed AlOsC3 crystal, as listed in the Alexandria database.

a = 4.0030 Å, b = 4.0030 Å, c = 4.0030 Å
α = 90.00°, β = 90.00°, γ = 90.00°
With the nearest neighbours (Å) after each atom.
Sites, in units of the cell vectors:
1 C 0.0000 0.5000 0.0000  2 Os 2.00
2 C 0.0000 0.0000 0.5000  2 Os 2.00
3 C 0.5000 0.0000 0.0000  2 Os 2.00
4 Os 0.0000 0.0000 0.0000  6 C 2.00
5 Al 0.5000 0.5000 0.5000  12 C 2.83

Calculated values
The space-group type is Pm-3m, No. 221. The calculation puts the total energy at -6.662 eV/atom. As for the polymorph energy (0 for the lowest one): 0.0 meV/atom. The calculation puts the formation energy at 1867.3 meV per atom.

No. 2
First-principles (PBE) data for a relaxed PaAlOsC crystal, as listed in the Alexandria database.

a = 3.7706 Å, b = 3.7706 Å, c = 9.1964 Å
α = 90.00°, β = 90.00°, γ = 90.00°
With the nearest neighbours (Å) after each atom.
Sites, in units of the cell vectors:
1 Pa 0.0000 0.5000 0.8580  1 C 2.29
2 Pa 0.5000 0.0000 0.1420  1 C 2.29
3 Al 0.0000 0.5000 0.3201  1 C 1.96
4 Al 0.5000 0.0000 0.6799  1 C 1.96
5 Os 0.0000 0.0000 0.5000  4 Al 2.51, 4 Os 2.67
6 Os 0.5000 0.5000 0.5000  4 Al 2.51, 4 Os 2.67
7 C 0.5000 0.0000 0.8929  1 Al 1.96
8 C 0.0000 0.5000 0.1071  1 Al 1.96

Calculated values
The space-group type is P4/nmm, No. 129. The calculation puts the total energy at -8.552 eV/atom. The calculation puts the formation energy at -129.1 meV per atom.